# Cs2PmInF6

A geometry-optimized Cs2PmInF6 structure (GGA-PBE, the Alexandria database).

Cell lengths 6.939, 6.972, 9.810 Å; angles 90.00, 90.08, 90.00 degrees
Fractional coordinates of all 20 atoms:
1 F 0.072 0.475 0.774
2 In 0.000 0.500 0.500
3 Cs 0.994 0.028 0.750
4 Pm 0.000 0.500 0.000
5 In 0.500 0.000 0.000
6 Cs 0.506 0.528 0.750
7 F 0.740 0.307 0.966
8 Cs 0.494 0.472 0.250
9 F 0.312 0.739 0.458
10 Pm 0.500 0.000 0.500
11 F 0.572 0.025 0.274
12 F 0.812 0.761 0.958
13 F 0.188 0.239 0.042
14 F 0.240 0.193 0.466
15 Cs 0.006 0.972 0.250
16 F 0.260 0.693 0.034
17 F 0.688 0.261 0.542
18 F 0.928 0.525 0.226
19 F 0.760 0.807 0.534
20 F 0.428 0.975 0.726

Its raw formation energy is -30.61 eV per formula unit. Its density of states at the Fermi level is 0.0 states/eV/f.u. For the total energy, the calculation gives -5.1035 eV per atom.

---

# Cs2InPtF6

A geometry-optimized Cs2InPtF6 structure (GGA-PBE, the Alexandria database).

Cell lengths 6.939, 6.939, 6.504 Å; angles 57.76, 57.76, 90.00 degrees
Last column: magnetic moment on the atom in μB.
Fractional coordinates of all 10 atoms:
1 F 0.712 0.712 0.000  0.02
2 F 0.758 0.758 0.484  0.01
3 F 0.242 0.242 0.516  0.01
4 F 0.288 0.712 0.000  0.02
5 Pt 0.000 0.000 0.000  0.76
6 In 0.500 0.500 0.000  0.01
7 Cs 0.250 0.750 0.500  0.00
8 F 0.288 0.288 0.000  0.02
9 F 0.712 0.288 0.000  0.02
10 Cs 0.750 0.250 0.500  0.00

Its raw formation energy is -20.73 eV per formula unit. Its density of states at the Fermi level is 5.2 states/eV/f.u. For the total energy, the calculation gives -4.2447 eV per atom.

---

# CsPuInF6

A geometry-optimized CsPuInF6 structure (GGA-PBE, the Alexandria database).

Cell lengths 6.847, 6.847, 5.579 Å; angles 90.07, 89.93, 59.62 degrees
Last column: magnetic moment on the atom in μB.
Fractional coordinates of all 9 atoms:
1 Pu 0.333 0.333 0.500  4.14
2 F 0.343 0.594 0.289  -0.03
3 In 0.667 0.667 0.500  -0.01
4 F 0.594 0.343 0.711  -0.03
5 F 0.343 0.063 0.710  -0.03
6 F 0.063 0.343 0.290  -0.03
7 F 0.059 0.597 0.709  -0.03
8 F 0.597 0.059 0.291  -0.03
9 Cs 0.000 0.000 0.000  0.00

Its raw formation energy is -26.71 eV per formula unit. For the total energy, the calculation gives -6.2065 eV per atom.

---

# CsRb2InF6

A geometry-optimized CsRb2InF6 structure (GGA-PBE, the Alexandria database).

Cell lengths 6.646, 7.000, 9.476 Å; angles 90.00, 89.15, 90.00 degrees
Fractional coordinates of all 20 atoms:
1 F 0.263 0.662 0.037
2 In 0.500 0.000 0.500
3 Rb 0.986 0.044 0.739
4 F 0.612 0.075 0.296
5 Rb 0.014 0.956 0.261
6 F 0.763 0.838 0.537
7 F 0.888 0.575 0.204
8 F 0.652 0.243 0.584
9 Cs 0.500 0.000 0.000
10 Rb 0.486 0.456 0.239
11 F 0.112 0.425 0.796
12 F 0.848 0.743 0.916
13 F 0.348 0.757 0.416
14 Rb 0.514 0.544 0.761
15 In 0.000 0.500 0.000
16 F 0.237 0.162 0.463
17 F 0.152 0.257 0.084
18 F 0.737 0.338 0.963
19 Cs 0.000 0.500 0.500
20 F 0.388 0.925 0.704

Its raw formation energy is -27.32 eV per formula unit. Its density of states at the Fermi level is 0.0 states/eV/f.u. For the total energy, the calculation gives -4.4075 eV per atom.

---

# CsRb2InF6

A geometry-optimized CsRb2InF6 structure (GGA-PBE, the Alexandria database).

Cell lengths 6.917, 6.917, 6.917 Å; angles 60.00, 60.00, 60.00 degrees
Fractional coordinates of all 10 atoms:
1 Rb 0.750 0.750 0.750
2 F 0.215 0.785 0.785
3 Cs 0.500 0.500 0.500
4 F 0.785 0.785 0.215
5 F 0.215 0.785 0.215
6 F 0.215 0.215 0.785
7 Rb 0.250 0.250 0.250
8 F 0.785 0.215 0.785
9 F 0.785 0.215 0.215
10 In 0.000 0.000 0.000

Its raw formation energy is -26.73 eV per formula unit. Its density of states at the Fermi level is 0.0 states/eV/f.u. For the total energy, the calculation gives -4.3490 eV per atom.

---

# Cs2RbIn2F6

A geometry-optimized Cs2RbIn2F6 structure (GGA-PBE, the Alexandria database).

Cell lengths 7.055, 6.712, 8.379 Å; angles 115.15, 90.00, 121.71 degrees
Last column: magnetic moment on the atom in μB.
Fractional coordinates of all 11 atoms:
1 Rb 0.500 0.000 0.500  0.00
2 F 0.772 0.543 0.516  0.07
3 F 0.177 0.897 0.217  0.02
4 In 0.930 0.859 0.794  0.20
5 F 0.228 0.457 0.484  0.07
6 Cs 0.294 0.588 0.860  0.01
7 F 0.720 0.897 0.217  0.02
8 F 0.823 0.103 0.783  0.02
9 Cs 0.706 0.412 0.140  0.01
10 F 0.280 0.103 0.783  0.02
11 In 0.070 0.141 0.206  0.20

Its raw formation energy is -25.84 eV per formula unit. Its density of states at the Fermi level is 1.6 states/eV/f.u. For the total energy, the calculation gives -4.1110 eV per atom.

---

| no. | magnetization (Bohr magnetons per cell) |
| --- | --- |
| 1 | 0.0 |
| 2 | 1.0 |
| 3 | 4.0 |
| 4 | 0.4 |
| 5 | 0.0 |
| 6 | 1.0 |